# 1
This record from Alexandria describes an optimized crystal structure of Ta2GeB. The functional is PBE.

```
Ta2GeB
1.0
0.0000 3.0725 3.0725
3.0725 0.0000 3.0725
3.0725 3.0725 0.0000
Ge B Ta
1 1 2
Direct
0.5000 0.5000 0.5000
0.0000 0.0000 0.0000
0.2500 0.2500 0.2500
0.7500 0.7500 0.7500
```

Summary:
Energy of formation from the pure elements = 0.35 eV/atom
ΔE to the lowest computed polymorph = 0.718 eV/atom
D(E_F) = 3.24 states/eV/cell
Final energy = -33.6 eV/f.u.
Mass density = 12.748 Mg/m³

---

# 2
This record from Alexandria describes an optimized crystal structure of Ta2GeB. The functional is PBE.

```
Ta2GeB
1.0
5.4199 0.0000 0.0000
0.0000 5.4199 0.0000
2.7100 2.7100 5.3364
Ge B Ta
2 2 4
Direct
0.0000 0.0000 0.0000
0.7500 0.2500 0.5000
0.5000 0.5000 0.0000
0.2500 0.7500 0.5000
0.5514 0.1250 0.2500
0.1986 0.6250 0.2500
0.3750 0.4486 0.7500
0.8750 0.8014 0.7500
```

Summary:
Energy of formation from the pure elements = 0.67 eV/atom
ΔE to the lowest computed polymorph = 1.037 eV/atom
D(E_F) = 3.20 states/eV/cell
Final energy = -32.3 eV/f.u.
Mass density = 9.435 Mg/m³

---

# 3
This record from Alexandria describes an optimized crystal structure of Ta4Ge2B. The functional is PBE.

```
Ta4Ge2B
1.0
-2.2861 -0.1211 3.5203
0.1568 -4.1961 -0.0425
4.6617 -1.9823 5.4638
Ge B Ta
2 1 4
Direct
0.3572 0.3572 0.2856
0.6428 0.6428 0.7144
0.0000 0.0000 0.0000
0.1635 0.1635 0.6731
0.8365 0.8365 0.3269
0.0000 0.5000 0.0000
0.5000 0.0000 0.0000
```

Summary:
Energy of formation from the pure elements = 0.06 eV/atom
D(E_F) = 6.78 states/eV/cell
Final energy = -62.9 eV/f.u.
Mass density = 12.125 Mg/m³

---

# 4
This record from Alexandria describes an optimized crystal structure of TaGe2B. The functional is PBE.

```
TaGe2B
1.0
6.4567 0.0000 0.0000
0.0000 6.4567 0.0000
3.2284 3.2284 2.8242
Ge B Ta
4 2 2
Direct
0.5471 0.1250 0.2500
0.2029 0.6250 0.2500
0.3750 0.4529 0.7500
0.8750 0.7971 0.7500
0.5000 0.5000 0.0000
0.2500 0.7500 0.5000
0.0000 0.0000 0.0000
0.7500 0.2500 0.5000
```

Summary:
Energy of formation from the pure elements = 0.46 eV/atom
D(E_F) = 4.18 states/eV/cell
Final energy = -25.9 eV/f.u.
Mass density = 9.507 Mg/m³

---

# 5
This record from Alexandria describes an optimized crystal structure of Ta2GeB. The functional is PBE.

```
Ta2GeB
1.0
-1.6615 -0.4521 -2.7231
-2.2912 -2.2611 -0.1325
-5.8830 3.6023 1.0855
Ge B Ta
1 1 2
Direct
0.5000 0.5000 0.5000
0.0000 0.0000 0.0000
0.7283 0.7283 0.8151
0.2717 0.2717 0.1849
```

Summary:
Energy of formation from the pure elements = -0.37 eV/atom
ΔE to the lowest computed polymorph = 0.000 eV/atom
D(E_F) = 2.04 states/eV/cell
Final energy = -36.5 eV/f.u.
Mass density = 12.222 Mg/m³

---

# 6
This record from Alexandria describes an optimized crystal structure of TaGeB. The functional is PBE.

```
TaGeB
1.0
-2.9823 -0.0191 -0.5817
-1.4999 -2.6290 -0.1286
-3.5163 3.2607 9.9482
Ta B Ge
2 2 2
Direct
0.8515 0.9820 0.3157
0.1485 0.0180 0.6843
0.6381 0.1952 0.5285
0.3619 0.8048 0.4715
0.3834 0.1168 0.1167
0.6166 0.8832 0.8833
```

Summary:
Energy of formation from the pure elements = -0.20 eV/atom
D(E_F) = 1.08 states/eV/cell
Final energy = -23.8 eV/f.u.
Mass density = 10.370 Mg/m³

---

# 7
This record from Alexandria describes an optimized crystal structure of TaVGe2B. The functional is PBE.

```
TaVGe2B
1.0
-2.2066 3.6128 -0.1280
-1.5778 -0.8257 3.8953
3.2610 2.0540 1.7563
Ge V B Ta
2 1 1 1
Direct
0.0000 0.0000 0.5000
0.5000 0.0000 0.0000
0.5000 0.5000 0.5000
0.0000 0.0000 0.0000
0.0000 0.5000 0.0000
```

Summary:
Energy of formation from the pure elements = 0.73 eV/atom
D(E_F) = 3.88 states/eV/cell
Final energy = -33.2 eV/f.u.
Mass density = 8.386 Mg/m³

---

# 8
This record from Alexandria describes an optimized crystal structure of TaZnGe2B. The functional is PBE.

```
TaZnGe2B
1.0
4.4641 0.0000 0.0000
0.0000 5.0635 0.0000
0.0000 0.0000 4.4641
Ge B Zn Ta
2 1 1 1
Direct
0.0000 0.0000 0.5000
0.5000 0.0000 0.0000
0.5000 0.5000 0.5000
0.0000 0.0000 0.0000
0.0000 0.5000 0.0000
```

Summary:
Energy of formation from the pure elements = 1.79 eV/atom
D(E_F) = 3.88 states/eV/cell
Final energy = -20.1 eV/f.u.
Mass density = 6.623 Mg/m³

---

Please write out number 6 again, unchanged.
This record from Alexandria describes an optimized crystal structure of TaGeB. The functional is PBE.

```
TaGeB
1.0
-2.9823 -0.0191 -0.5817
-1.4999 -2.6290 -0.1286
-3.5163 3.2607 9.9482
Ta B Ge
2 2 2
Direct
0.8515 0.9820 0.3157
0.1485 0.0180 0.6843
0.6381 0.1952 0.5285
0.3619 0.8048 0.4715
0.3834 0.1168 0.1167
0.6166 0.8832 0.8833
```

Summary:
Energy of formation from the pure elements = -0.20 eV/atom
D(E_F) = 1.08 states/eV/cell
Final energy = -23.8 eV/f.u.
Mass density = 10.370 Mg/m³

---

Copy entry 1 word for word.
This record from Alexandria describes an optimized crystal structure of Ta2GeB. The functional is PBE.

```
Ta2GeB
1.0
0.0000 3.0725 3.0725
3.0725 0.0000 3.0725
3.0725 3.0725 0.0000
Ge B Ta
1 1 2
Direct
0.5000 0.5000 0.5000
0.0000 0.0000 0.0000
0.2500 0.2500 0.2500
0.7500 0.7500 0.7500
```

Summary:
Energy of formation from the pure elements = 0.35 eV/atom
ΔE to the lowest computed polymorph = 0.718 eV/atom
D(E_F) = 3.24 states/eV/cell
Final energy = -33.6 eV/f.u.
Mass density = 12.748 Mg/m³

---

Among the records above, which one has the highest mass density?
number 1

---

Copy entry 3 word for word.
This record from Alexandria describes an optimized crystal structure of Ta4Ge2B. The functional is PBE.

```
Ta4Ge2B
1.0
-2.2861 -0.1211 3.5203
0.1568 -4.1961 -0.0425
4.6617 -1.9823 5.4638
Ge B Ta
2 1 4
Direct
0.3572 0.3572 0.2856
0.6428 0.6428 0.7144
0.0000 0.0000 0.0000
0.1635 0.1635 0.6731
0.8365 0.8365 0.3269
0.0000 0.5000 0.0000
0.5000 0.0000 0.0000
```

Summary:
Energy of formation from the pure elements = 0.06 eV/atom
D(E_F) = 6.78 states/eV/cell
Final energy = -62.9 eV/f.u.
Mass density = 12.125 Mg/m³